TcHgSe2 (PBE, relaxed); formation energy (no corrections) = -0.07 eV/atom; spin magnetization = 0.00 μB/f.u.
1.0
-5.064 -2.053 1.309
1.687 -3.785 5.750
2.356 1.610 6.487
Se Tc Hg
4 2 2
direct
0.107 0.217 0.055 Se
0.393 0.555 0.717 Se
0.893 0.783 0.945 Se
0.607 0.445 0.283 Se
0.750 0.261 0.761 Tc
0.250 0.739 0.239 Tc
0.250 0.170 0.670 Hg
0.750 0.830 0.330 Hg

***

TcHgSe2 (PBE, relaxed); formation energy (no corrections) = -0.12 eV/atom; spin magnetization = 0.00 μB/f.u.
1.0
10.006 0.293 -0.017
8.915 4.552 0.017
-9.451 -2.459 2.198
Se Tc Hg
2 1 1
direct
0.016 0.016 0.000 Se
0.349 0.849 0.500 Se
0.447 0.447 0.000 Tc
0.689 0.189 0.500 Hg

***

TcHgSe2 (PBE, relaxed); formation energy (no corrections) = -0.15 eV/atom; spin magnetization = 0.00 μB/f.u.
1.0
9.783 0.000 2.623
1.178 1.608 -2.524
-1.178 1.608 2.524
Tc Se Hg
1 2 1
direct
0.500 0.500 0.500 Tc
0.675 0.778 0.222 Se
0.325 0.222 0.778 Se
0.000 0.000 0.000 Hg